A plane-wave DFT calculation with SCAN was carried out for a crystal of LiVOF3 relaxed with PBEsol.

Unit cell a=5.214 b=5.262 c=5.711 alpha=117.41 beta=90.00 gamma=90.00
Last column: magnetic moment on the atom in μB.
Fractional coordinates of all 12 atoms:
Li1 0.733 0.766 0.537  0.00
Li2 0.233 0.234 0.463  0.00
F1 0.940 0.422 0.368  0.02
F2 0.521 0.941 0.369  0.02
F3 0.749 0.953 0.941  0.00
F4 0.021 0.059 0.631  0.02
F5 0.249 0.047 0.059  0.00
F6 0.440 0.578 0.632  0.02
V1 0.976 0.281 0.999  1.11
V2 0.476 0.719 0.001  1.11
O1 0.213 0.526 0.019  -0.17
O2 0.713 0.474 0.981  -0.17

Raw formation energy   -3028 meV per atom
SG   No. 4
Energy above the most stable polymorph in this dataset   1.5 meV/atom